Density functional theory data (GGA+U) for a relaxed structure of LiUFeO5.

Results
- space group = C2/c
- M_tot (μB per formula unit) = 3.0
- raw total energy (hartree per atom) = -0.2803

Unit cell a=5.764 b=5.764 c=8.207 alpha=103.40 beta=103.40 gamma=114.73
Element x y z (fractional)
O: 0.234 0.377 0.557
O: 0.377 0.234 0.057
O: 0.623 0.766 0.943
Li: 0.301 0.699 0.750
Fe: 0.305 0.695 0.250
O: 0.111 0.889 0.250
O: 0.647 0.003 0.343
O: 0.766 0.623 0.443
U: 0.000 0.000 0.000
Fe: 0.695 0.305 0.750
O: 0.997 0.353 0.157
U: 0.000 0.000 0.500
O: 0.353 0.997 0.657
Li: 0.699 0.301 0.250
O: 0.003 0.647 0.843
O: 0.889 0.111 0.750